1.
This record from Alexandria via LeMat-Bulk describes DyTm2Cu2Ge2 after structural relaxation. The functional is PBE.

Unit cell a=4.176 b=4.176 c=10.258 alpha=78.26 beta=78.26 gamma=60.00
Atoms (fractional coordinates):
Tm 0.877 0.877 0.368
Tm 0.123 0.123 0.632
Dy 0.000 0.000 0.000
Ge 0.731 0.731 0.806
Ge 0.269 0.269 0.194
Cu 0.395 0.395 0.816
Cu 0.605 0.605 0.184

Calculated values
Its spin magnetization is 0.00 Bohr magnetons per cell. As for the total DFT energy (no corrections): -4.908 eV/atom. Its formation energy is -3.4 eV/f.u.

=====

2.
This record from Alexandria via LeMat-Bulk describes HfAg2OsPb after structural relaxation. The functional is PBE.

Unit cell a=5.036 b=5.056 c=5.036 alpha=90.00 beta=90.00 gamma=90.00
Atoms (fractional coordinates):
Pb 0.000 0.500 0.000
Os 0.000 0.000 0.000
Ag 0.000 0.000 0.500
Ag 0.500 0.000 0.000
Hf 0.500 0.500 0.500

Calculated values
Its spin magnetization is 0.00 Bohr magnetons per cell. As for the total DFT energy (no corrections): -4.736 eV/atom. Its formation energy is 6.9 eV/f.u.

=====

3.
This record from Alexandria via LeMat-Bulk describes HfCrPd after structural relaxation. The functional is PBE.

Unit cell a=5.431 b=5.168 c=8.054 alpha=90.00 beta=118.78 gamma=90.00
Atoms (fractional coordinates):
Cr 0.030 0.091 0.138
Cr 0.970 0.591 0.362
Cr 0.970 0.091 0.862
Cr 0.030 0.591 0.638
Hf 0.000 0.584 0.000
Hf 0.500 0.859 0.000
Hf 0.000 0.084 0.500
Hf 0.500 0.359 0.500
Pd 0.481 0.323 0.829
Pd 0.481 0.823 0.329
Pd 0.519 0.323 0.171
Pd 0.519 0.823 0.671

Calculated values
The energy above the lowest structure with this stoichiometry is 193.0 meV per atom. Its spin magnetization is 1.61 Bohr magnetons per cell. As for the total DFT energy (no corrections): -8.353 eV/atom. Its formation energy is -0.3 eV/f.u.

=====

4.
This record from Alexandria via LeMat-Bulk describes MnIN2 after structural relaxation. The functional is PBE.

Unit cell a=5.666 b=5.666 c=5.665 alpha=60.00 beta=60.00 gamma=90.00
Atoms (fractional coordinates):
N 0.376 0.125 0.250
N 0.374 0.625 0.250
N 0.375 0.624 0.750
N 0.875 0.626 0.750
Mn 0.500 0.500 0.000
Mn 0.250 0.750 0.500
I 0.750 0.250 0.500
I 0.000 0.000 0.000

Calculated values
The energy above the lowest structure with this stoichiometry is 0.0 meV per atom. Its spin magnetization is 0.00 Bohr magnetons per cell. As for the total DFT energy (no corrections): -6.314 eV/atom. As for the formation energy from raw total energies: 0.5282 eV per atom.

=====

5.
This record from Alexandria via LeMat-Bulk describes NaCaCuHg after structural relaxation. The functional is PBE.

Unit cell a=5.159 b=5.159 c=5.159 alpha=60.00 beta=60.00 gamma=60.00
Atoms (fractional coordinates):
Na 0.500 0.500 0.500
Ca 0.000 0.000 0.000
Cu 0.250 0.250 0.250
Hg 0.750 0.750 0.750

Calculated values
Its spin magnetization is 0.00 Bohr magnetons per cell. As for the total DFT energy (no corrections): -2.020 eV/atom. Its formation energy is -0.4 eV/f.u.

=====

6.
This record from Alexandria via LeMat-Bulk describes TcAgRu2 after structural relaxation. The functional is PBE.

Unit cell a=4.401 b=4.401 c=4.401 alpha=60.00 beta=60.00 gamma=60.00
Atoms (fractional coordinates):
Ru 0.750 0.750 0.750
Ru 0.250 0.250 0.250
Ag 0.500 0.500 0.500
Tc 0.000 0.000 0.000

Calculated values
The energy above the lowest structure with this stoichiometry is 404.2 meV per atom. Its spin magnetization is 0.00 Bohr magnetons per cell. As for the total DFT energy (no corrections): -7.343 eV/atom. Its formation energy is 2.4 eV/f.u.

=====

7.
This record from Alexandria via LeMat-Bulk describes YZnSnCl2 after structural relaxation. The functional is PBE.

Unit cell a=5.106 b=6.195 c=5.106 alpha=90.00 beta=90.00 gamma=90.00
Atoms (fractional coordinates):
Cl 0.500 0.000 0.000
Cl 0.000 0.000 0.500
Zn 0.000 0.500 0.000
Y 0.000 0.000 0.000
Sn 0.500 0.500 0.500

Calculated values
Its spin magnetization is 0.00 Bohr magnetons per cell. As for the total DFT energy (no corrections): -3.688 eV/atom. As for the formation energy from raw total energies: -0.6013 eV per atom.

=====

8.
This record from Alexandria via LeMat-Bulk describes La2In2Sn after structural relaxation. The functional is PBE.

Unit cell a=4.902 b=6.503 c=10.640 alpha=87.78 beta=76.68 gamma=67.86
Atoms (fractional coordinates):
Sn 0.479 0.756 0.286
Sn 0.521 0.244 0.714
La 0.287 0.775 0.651
La 0.893 0.287 0.928
La 0.713 0.225 0.349
La 0.107 0.713 0.072
In 0.076 0.289 0.559
In 0.635 0.855 0.876
In 0.365 0.145 0.124
In 0.924 0.711 0.441

Calculated values
The energy above the lowest structure with this stoichiometry is 0.0 meV per atom. Its spin magnetization is 0.00 Bohr magnetons per cell. As for the total DFT energy (no corrections): -4.423 eV/atom. Its formation energy is -2.8 eV/f.u.

=====

9.
This record from Alexandria via LeMat-Bulk describes CeY2Th3Se6 after structural relaxation. The functional is PBE.

Unit cell a=7.090 b=7.090 c=7.397 alpha=99.18 beta=99.18 gamma=119.80
Atoms (fractional coordinates):
Se 0.080 0.419 0.240
Se 0.920 0.581 0.760
Se 0.581 0.920 0.760
Se 0.261 0.261 0.764
Se 0.419 0.080 0.240
Se 0.739 0.739 0.236
Y 0.333 0.667 0.000
Y 0.667 0.333 0.000
Ce 0.000 0.000 0.000
Th 0.836 0.164 0.500
Th 0.500 0.500 0.500
Th 0.164 0.836 0.500

Calculated values
Its spin magnetization is 0.74 Bohr magnetons per cell. As for the total DFT energy (no corrections): -6.826 eV/atom. As for the formation energy from raw total energies: -1.6573 eV per atom.

=====

10.
This record from Alexandria via LeMat-Bulk describes Li6GeI8 after structural relaxation. The functional is PBE.

Unit cell a=8.554 b=8.554 c=8.554 alpha=60.00 beta=60.00 gamma=60.00
Atoms (fractional coordinates):
I 0.751 0.249 0.751
I 0.249 0.249 0.751
I 0.750 0.750 0.750
I 0.249 0.751 0.751
I 0.751 0.751 0.249
I 0.249 0.751 0.249
I 0.751 0.249 0.249
I 0.250 0.250 0.250
Li 0.500 0.500 0.000
Li 0.500 0.000 0.000
Li 0.000 0.000 0.500
Li 0.500 0.000 0.500
Li 0.000 0.500 0.500
Li 0.000 0.500 0.000
Ge 0.000 0.000 0.000

Calculated values
Its spin magnetization is 0.00 Bohr magnetons per cell. As for the total DFT energy (no corrections): -2.907 eV/atom. As for the formation energy from raw total energies: -1.0069 eV per atom.

=====

11.
This record from Alexandria via LeMat-Bulk describes CoCuAu after structural relaxation. The functional is PBE.

Unit cell a=4.254 b=4.254 c=2.680 alpha=90.00 beta=90.00 gamma=120.00
Atoms (fractional coordinates):
Cu 0.333 0.667 0.616
Co 0.667 0.333 0.398
Au 0.000 0.000 0.985

Calculated values
The energy above the lowest structure with this stoichiometry is 71.7 meV per atom. Its spin magnetization is 1.82 Bohr magnetons per cell. As for the total DFT energy (no corrections): -4.567 eV/atom. Its formation energy is 0.8 eV/f.u.

=====

12.
This record from Alexandria via LeMat-Bulk describes Sm5SiSb2 after structural relaxation. The functional is PBE.

Unit cell a=6.088 b=7.299 c=13.976 alpha=90.00 beta=90.00 gamma=114.65
Atoms (fractional coordinates):
Sm 0.647 0.294 0.582
Sm 0.647 0.294 0.918
Sm 0.696 0.391 0.250
Sm 0.945 0.890 0.879
Sm 0.353 0.706 0.082
Sm 0.353 0.706 0.418
Sm 0.945 0.890 0.621
Sm 0.055 0.110 0.121
Sm 0.055 0.110 0.379
Sm 0.304 0.609 0.750
Sb 0.827 0.654 0.431
Sb 0.173 0.346 0.931
Sb 0.827 0.654 0.069
Sb 0.173 0.346 0.569
Si 0.780 0.559 0.750
Si 0.220 0.441 0.250

Calculated values
Its spin magnetization is 0.00 Bohr magnetons per cell. As for the total DFT energy (no corrections): -5.139 eV/atom. As for the formation energy from raw total energies: -0.4807 eV per atom.

=====

Table of Fermi-level density of states (states/eV per atom), in record order: 0.705, 1.129, 0.996, 0.724, 0.639, 0.873, 0.688, 0.290, 1.001, 0.000, 1.298, 1.114